Be2AlIn | PBE-GGA | optimized geometry

Calculated values
Symmetry: Fm-3m (225)
VASP energy (eV/atom): -2.92
Energy of formation from the pure elements (eV/atom): 0.559
Total moment (μB per formula unit): 0.000

Unit cell a=4.391 b=4.391 c=4.391 alpha=60.00 beta=60.00 gamma=60.00
Fractional coordinates of all 4 atoms:
Be 0.250 0.250 0.250
Be 0.750 0.750 0.750
Al 0.000 0.000 0.000
In 0.500 0.500 0.500